[1]
# Pr2CdGa4Cu3 (PBE-GGA, relaxed)
data_Pr2CdGa4Cu3
_chemical_formula_sum 'Pr2 Cd1 Ga4 Cu3'
_cell_length_a 4.301
_cell_length_b 4.301
_cell_length_c 10.434
_cell_angle_alpha 90.00
_cell_angle_beta 90.00
_cell_angle_gamma 90.00
_symmetry_space_group_name_H-M 'P 1'
_symmetry_Int_Tables_number 1
_symmetry_space_group_name_Hall 'P 1'
loop_
_atom_site_label
_atom_site_fract_x
_atom_site_fract_y
_atom_site_fract_z
Pr1 0.000 0.500 0.241
Pr2 0.500 0.000 0.759
Cd1 0.000 0.000 0.500
Ga1 0.000 0.000 0.000
Ga2 0.000 0.500 0.650
Ga3 0.500 0.000 0.350
Ga4 0.500 0.500 0.000
Cu1 0.000 0.500 0.880
Cu2 0.500 0.000 0.120
Cu3 0.500 0.500 0.500
# Total magnetization = 0.00 Bohr magnetons per cell
# DFT total energy = -3.91 eV per atom



[2]
# KCu2 (PBE-GGA, relaxed)
data_KCu2
_chemical_formula_sum 'K1 Cu2'
_cell_length_a 4.148
_cell_length_b 4.148
_cell_length_c 5.028
_cell_angle_alpha 90.00
_cell_angle_beta 90.00
_cell_angle_gamma 120.00
_symmetry_space_group_name_H-M 'P 1'
_symmetry_Int_Tables_number 1
_symmetry_space_group_name_Hall 'P 1'
loop_
_atom_site_label
_atom_site_fract_x
_atom_site_fract_y
_atom_site_fract_z
K1 0.000 0.000 0.000
Cu1 0.333 0.667 0.500
Cu2 0.667 0.333 0.500
# Total magnetization = 0.00 Bohr magnetons per cell
# DFT total energy = -2.72 eV per atom



[3]
# ZnCu2SbRh (PBE-GGA, relaxed)
data_ZnCu2SbRh
_chemical_formula_sum 'Zn1 Cu2 Sb1 Rh1'
_cell_length_a 4.697
_cell_length_b 4.697
_cell_length_c 5.002
_cell_angle_alpha 90.00
_cell_angle_beta 90.00
_cell_angle_gamma 90.00
_symmetry_space_group_name_H-M 'P 1'
_symmetry_Int_Tables_number 1
_symmetry_space_group_name_Hall 'P 1'
loop_
_atom_site_label
_atom_site_fract_x
_atom_site_fract_y
_atom_site_fract_z
Zn1 0.000 0.000 0.000
Cu1 0.000 0.500 0.500
Cu2 0.500 0.000 0.500
Sb1 0.000 0.000 0.500
Rh1 0.500 0.500 0.000
# Total magnetization = 0.00 Bohr magnetons per cell
# ΔE_f (raw) = 5.30 eV per formula unit



[4]
# CaMoS3 (PBE-GGA, relaxed)
data_CaMoS3
_chemical_formula_sum 'Ca1 Mo1 S3'
_cell_length_a 5.118
_cell_length_b 5.118
_cell_length_c 5.118
_cell_angle_alpha 90.00
_cell_angle_beta 90.00
_cell_angle_gamma 90.00
_symmetry_space_group_name_H-M 'P 1'
_symmetry_Int_Tables_number 1
_symmetry_space_group_name_Hall 'P 1'
loop_
_atom_site_label
_atom_site_fract_x
_atom_site_fract_y
_atom_site_fract_z
Ca1 0.000 0.000 0.000
Mo1 0.500 0.500 0.500
S1 0.000 0.000 0.500
S2 0.000 0.500 0.000
S3 0.500 0.000 0.000
# Total magnetization = 2.00 Bohr magnetons per cell
# ΔE_f (raw) = 3.37 eV per formula unit



[5]
# ErZrTlRh (PBE-GGA, relaxed)
data_ErZrTlRh
_chemical_formula_sum 'Er1 Zr1 Tl1 Rh1'
_cell_length_a 4.967
_cell_length_b 4.967
_cell_length_c 4.967
_cell_angle_alpha 60.00
_cell_angle_beta 60.00
_cell_angle_gamma 60.00
_symmetry_space_group_name_H-M 'P 1'
_symmetry_Int_Tables_number 1
_symmetry_space_group_name_Hall 'P 1'
loop_
_atom_site_label
_atom_site_fract_x
_atom_site_fract_y
_atom_site_fract_z
Er1 0.000 0.000 0.000
Zr1 0.500 0.500 0.500
Tl1 0.750 0.750 0.750
Rh1 0.250 0.250 0.250
# Total magnetization = 0.00 Bohr magnetons per cell
# DFT total energy = -6.04 eV per atom



[6]
# Th4GaB3Rh12 (PBE-GGA, relaxed)
data_Th4GaB3Rh12
_chemical_formula_sum 'Th4 Ga1 B3 Rh12'
_cell_length_a 7.541
_cell_length_b 7.541
_cell_length_c 7.541
_cell_angle_alpha 109.47
_cell_angle_beta 109.47
_cell_angle_gamma 109.47
_symmetry_space_group_name_H-M 'P 1'
_symmetry_Int_Tables_number 1
_symmetry_space_group_name_Hall 'P 1'
loop_
_atom_site_label
_atom_site_fract_x
_atom_site_fract_y
_atom_site_fract_z
Th1 0.000 0.000 0.500
Th2 0.000 0.500 0.000
Th3 0.500 0.000 0.000
Th4 0.500 0.500 0.500
Ga1 0.000 0.000 0.000
B1 0.000 0.500 0.500
B2 0.500 0.000 0.500
B3 0.500 0.500 0.000
Rh1 0.000 0.271 0.271
Rh2 0.000 0.729 0.729
Rh3 0.250 0.500 0.750
Rh4 0.250 0.750 0.500
Rh5 0.271 0.000 0.271
Rh6 0.271 0.271 0.000
Rh7 0.500 0.250 0.750
Rh8 0.500 0.750 0.250
Rh9 0.729 0.000 0.729
Rh10 0.729 0.729 0.000
Rh11 0.750 0.250 0.500
Rh12 0.750 0.500 0.250
# Total magnetization = 0.00 Bohr magnetons per cell
# DFT total energy = -7.86 eV per atom



[7]
# Ce3PmEr2Te6 (PBE-GGA, relaxed)
data_Ce3PmEr2Te6
_chemical_formula_sum 'Ce3 Pm1 Er2 Te6'
_cell_length_a 7.617
_cell_length_b 7.617
_cell_length_c 7.766
_cell_angle_alpha 99.41
_cell_angle_beta 99.41
_cell_angle_gamma 120.06
_symmetry_space_group_name_H-M 'P 1'
_symmetry_Int_Tables_number 1
_symmetry_space_group_name_Hall 'P 1'
loop_
_atom_site_label
_atom_site_fract_x
_atom_site_fract_y
_atom_site_fract_z
Ce1 0.000 0.000 0.000
Ce2 0.339 0.661 0.000
Ce3 0.661 0.339 0.000
Pm1 0.500 0.500 0.500
Er1 0.168 0.832 0.500
Er2 0.832 0.168 0.500
Te1 0.078 0.419 0.259
Te2 0.236 0.236 0.736
Te3 0.419 0.078 0.259
Te4 0.581 0.922 0.741
Te5 0.764 0.764 0.264
Te6 0.922 0.581 0.741
# Total magnetization = 3.55 Bohr magnetons per cell
# ΔE_f (raw) = -16.01 eV per formula unit



[8]
# Zr5Tl3O12 (PBE-GGA, relaxed)
data_Zr5Tl3O12
_chemical_formula_sum 'Zr20 Tl12 O48'
_cell_length_a 12.048
_cell_length_b 12.048
_cell_length_c 12.048
_cell_angle_alpha 109.47
_cell_angle_beta 109.47
_cell_angle_gamma 109.47
_symmetry_space_group_name_H-M 'P 1'
_symmetry_Int_Tables_number 1
_symmetry_space_group_name_Hall 'P 1'
loop_
_atom_site_label
_atom_site_fract_x
_atom_site_fract_y
_atom_site_fract_z
Zr1 0.000 0.000 0.000
Zr2 0.000 0.000 0.500
Zr3 0.000 0.500 0.000
Zr4 0.000 0.500 0.500
Zr5 0.125 0.750 0.875
Zr6 0.125 0.875 0.250
Zr7 0.250 0.125 0.875
Zr8 0.250 0.625 0.375
Zr9 0.375 0.250 0.625
Zr10 0.375 0.625 0.750
Zr11 0.500 0.000 0.000
Zr12 0.500 0.000 0.500
Zr13 0.500 0.500 0.000
Zr14 0.500 0.500 0.500
Zr15 0.625 0.375 0.250
Zr16 0.625 0.750 0.375
Zr17 0.750 0.375 0.625
Zr18 0.750 0.875 0.125
Zr19 0.875 0.125 0.750
Zr20 0.875 0.250 0.125
Tl1 0.125 0.250 0.375
Tl2 0.125 0.375 0.750
Tl3 0.250 0.375 0.125
Tl4 0.250 0.875 0.625
Tl5 0.375 0.125 0.250
Tl6 0.375 0.750 0.125
Tl7 0.625 0.250 0.875
Tl8 0.625 0.875 0.750
Tl9 0.750 0.125 0.375
Tl10 0.750 0.625 0.875
Tl11 0.875 0.625 0.250
Tl12 0.875 0.750 0.625
O1 0.003 0.184 0.105
O2 0.003 0.319 0.897
O3 0.079 0.684 0.681
O4 0.079 0.895 0.397
O5 0.103 0.605 0.421
O6 0.103 0.997 0.681
O7 0.105 0.003 0.184
O8 0.105 0.603 0.921
O9 0.181 0.184 0.579
O10 0.181 0.497 0.603
O11 0.184 0.105 0.003
O12 0.184 0.579 0.181
O13 0.316 0.319 0.921
O14 0.316 0.497 0.395
O15 0.319 0.897 0.003
O16 0.319 0.921 0.316
O17 0.395 0.316 0.497
O18 0.395 0.579 0.897
O19 0.397 0.079 0.895
O20 0.397 0.819 0.503
O21 0.421 0.103 0.605
O22 0.421 0.819 0.816
O23 0.497 0.395 0.316
O24 0.497 0.603 0.181
O25 0.503 0.397 0.819
O26 0.503 0.605 0.684
O27 0.579 0.181 0.184
O28 0.579 0.897 0.395
O29 0.603 0.181 0.497
O30 0.603 0.921 0.105
O31 0.605 0.421 0.103
O32 0.605 0.684 0.503
O33 0.681 0.079 0.684
O34 0.681 0.103 0.997
O35 0.684 0.503 0.605
O36 0.684 0.681 0.079
O37 0.816 0.421 0.819
O38 0.816 0.895 0.997
O39 0.819 0.503 0.397
O40 0.819 0.816 0.421
O41 0.895 0.397 0.079
O42 0.895 0.997 0.816
O43 0.897 0.003 0.319
O44 0.897 0.395 0.579
O45 0.921 0.105 0.603
O46 0.921 0.316 0.319
O47 0.997 0.681 0.103
O48 0.997 0.816 0.895
# Total magnetization = 0.00 Bohr magnetons per cell
# ΔE_f (raw) = -49.98 eV per formula unit